This record from Alexandria via LeMat-Bulk describes MnNbO4 after structural relaxation. The functional is PBE with a Hubbard U.

Computed properties:
* calculated volume: 12.43 Å³ per atom
* crystal system: triclinic
* M_tot: 8.0 μB per cell
* E: -99.7 eV/cell
* SG: P1

Structure (POSCAR):
```
MnNbO4
1.0
-0.6213 -5.6596 -1.3021
3.9358 0.1505 -2.5535
2.3275 -1.3522 4.7772
Mn Nb O
2 2 8
Direct
0.7438 0.5243 0.9910 Mn
0.2564 0.5234 0.9917 Mn
0.4995 0.9715 0.5266 Nb
0.9995 0.4513 0.4745 Nb
0.5000 0.7281 0.1794 O
0.0002 0.3302 0.8142 O
0.5002 0.2895 0.8230 O
0.0000 0.6911 0.1893 O
0.2522 0.2300 0.3576 O
0.2555 0.7657 0.6478 O
0.7447 0.7654 0.6475 O
0.7481 0.2294 0.3574 O
```